The following is a DFT calculation (PBE with a Hubbard U) of a geometry-optimized MoAu2F structure.

Cell: 7.7952 7.7952 6.0691 Å, 50.04 50.04 90.00°
Sites, in units of the cell vectors:
Mo: 0.0000 0.0000 0.0000
Mo: 0.7500 0.2500 0.5000
Au: 0.6090 0.1250 0.2500
Au: 0.1410 0.6250 0.2500
Au: 0.3750 0.3910 0.7500
Au: 0.8750 0.8590 0.7500
F: 0.5000 0.5000 0.0000
F: 0.2500 0.7500 0.5000

Relative energy among the computed polymorphs, eV/atom: 0.000



The following is a DFT calculation (PBE with a Hubbard U) of a geometry-optimized MoAu2F structure.

Cell: 4.6262 4.6262 4.6262 Å, 60.00 60.00 60.00°
Sites, in units of the cell vectors:
Mo: 0.5000 0.5000 0.5000
Au: 0.2500 0.2500 0.2500
Au: 0.7500 0.7500 0.7500
F: 0.0000 0.0000 0.0000

Relative energy among the computed polymorphs, eV/atom: 0.242



The following is a DFT calculation (PBE with a Hubbard U) of a geometry-optimized MoAu2F8 structure.

Cell: 5.5191 6.0211 6.3808 Å, 86.71 64.38 90.00°
Sites, in units of the cell vectors:
Mo: 0.0000 0.0000 0.0000
Au: 0.7575 0.5315 0.4850
Au: 0.2425 0.4685 0.5150
F: 0.3472 0.9126 0.7932
F: 0.8596 0.9126 0.7932
F: 0.6528 0.0874 0.2068
F: 0.3933 0.6299 0.2135
F: 0.1404 0.0874 0.2068
F: 0.9227 0.6909 0.1546
F: 0.0773 0.3091 0.8454
F: 0.6067 0.3701 0.7865

Total DFT energy (no corrections), eV/cell: -46.07



Result set for DOS at the Fermi energy: 1.80; 3.67; 1.79 states/eV/cell, one per record in the order listed.